# 1
Pm2Dy2Ga3 | PBE-GGA | optimized geometry

Geometry as POSCAR:
```
Pm2Dy2Ga3
1.0
-1.0657 -1.8174 -3.0600
1.3813 -7.1564 3.7661
-5.9372 -0.7262 0.2477
Pm Dy Ga
2 2 3
Direct
0.7045 0.8341 0.5913 Pm
0.2955 0.1659 0.4087 Pm
0.5588 0.3034 0.8826 Dy
0.4412 0.6966 0.1174 Dy
0.0000 0.0000 0.0000 Ga
0.8319 0.4596 0.3363 Ga
0.1681 0.5404 0.6637 Ga
```

crystal system = monoclinic
uncorrected energy = -30.8 eV for the cell shown
spin magnetization = 0.002 μB per formula unit
Fermi-level density of states = 0.709 states/eV per atom



# 2
Sm5HoHg3 | PBE-GGA | optimized geometry

Geometry as POSCAR:
```
Sm5HoHg3
1.0
-5.1201 -4.4062 1.7992
3.1503 -6.1680 -6.1402
3.1514 -0.1087 8.7022
Sm Ho Hg
10 2 6
Direct
0.0000 0.6667 0.3333 Sm
0.5000 0.3333 0.6667 Sm
0.0000 0.3333 0.6667 Sm
0.5000 0.6667 0.3333 Sm
0.7500 0.6654 0.6655 Sm
0.7500 0.0000 0.3345 Sm
0.7500 0.3345 0.0000 Sm
0.2500 0.3346 0.3345 Sm
0.2500 0.0000 0.6655 Sm
0.2500 0.6655 0.0000 Sm
0.0000 0.0000 0.0000 Ho
0.5000 0.0000 0.0000 Ho
0.7500 0.3294 0.3294 Hg
0.7500 0.0000 0.6706 Hg
0.7500 0.6706 0.0000 Hg
0.2500 0.6706 0.6706 Hg
0.2500 0.0000 0.3294 Hg
0.2500 0.3294 0.0000 Hg
```

crystal system = hexagonal
uncorrected energy = -63.4 eV for the cell shown
spin magnetization = 0.000 μB per formula unit
Fermi-level density of states = 0.803 states/eV per atom



# 3
ZrTl2Cl | PBE-GGA | optimized geometry

Geometry as POSCAR:
```
ZrTl2Cl
1.0
6.5378 -0.0132 -0.0104
3.3961 5.5866 0.0104
-4.1975 -4.1582 2.7989
Cl Tl Zr
1 2 1
Direct
0.2989 0.7989 0.5000 Cl
0.0073 0.0073 0.0000 Tl
0.7194 0.2194 0.5000 Tl
0.4744 0.4744 0.0000 Zr
```

crystal system = orthorhombic
uncorrected energy = -16.6 eV for the cell shown
spin magnetization = 0.000 μB per formula unit
uncorrected formation energy = -1.5 eV per formula unit
Fermi-level density of states = 0.663 states/eV per atom



# 4
Pm5Er3Tm4 | PBE-GGA | optimized geometry

Geometry as POSCAR:
```
Pm5Er3Tm4
1.0
-5.2721 -1.4245 0.2655
-1.1347 -6.2000 0.5008
-5.8999 13.5205 11.6863
Pm Er Tm
5 3 4
Direct
0.4521 0.7053 0.3905 Pm
0.5000 0.5000 0.5000 Pm
0.2894 0.3869 0.0343 Pm
0.7106 0.6131 0.9657 Pm
0.5479 0.2947 0.6095 Pm
0.6228 0.9857 0.7687 Er
0.0000 0.5000 0.5000 Er
0.3772 0.0143 0.2313 Er
0.1587 0.8078 0.8747 Tm
0.0021 0.2726 0.7232 Tm
0.9979 0.7274 0.2768 Tm
0.8413 0.1922 0.1253 Tm
```

crystal system = monoclinic
uncorrected energy = -52.5 eV for the cell shown
spin magnetization = 0.306 μB per formula unit
Fermi-level density of states = 1.392 states/eV per atom



# 5
CsCr2HgCl8 | PBE-GGA | optimized geometry

Geometry as POSCAR:
```
CsCr2HgCl8
1.0
-0.4725 -7.3242 -3.0449
2.7683 -2.1798 5.2158
-6.7530 1.4914 1.7827
Cs Cr Hg Cl
1 2 1 8
Direct
0.0000 0.0000 0.5000 Cs
0.5022 0.5013 0.7511 Cr
0.4978 0.4987 0.2489 Cr
0.0000 0.0000 0.0000 Hg
0.2155 0.5644 0.1934 Cl
0.5589 0.7605 0.0817 Cl
0.7821 0.4290 0.3060 Cl
0.7845 0.4356 0.8066 Cl
0.4411 0.2395 0.9183 Cl
0.2179 0.5710 0.6940 Cl
0.5580 0.7611 0.5780 Cl
0.4420 0.2389 0.4220 Cl
```

crystal system = triclinic
uncorrected energy = -47.7 eV for the cell shown
spin magnetization = 4.989 μB per formula unit
uncorrected formation energy = -12.5 eV per formula unit
Fermi-level density of states = 0.504 states/eV per atom



# 6
Sr2LaAg4 | PBE-GGA | optimized geometry

Geometry as POSCAR:
```
Sr2LaAg4
1.0
5.4134 0.0000 -1.7256
-0.5501 5.3853 -1.7256
-0.4828 -0.5346 7.8393
Sr La Ag
2 1 4
Direct
0.7174 0.7174 0.4348 Sr
0.2826 0.2826 0.5652 Sr
0.0000 0.0000 0.0000 La
0.3915 0.8915 0.7829 Ag
0.8915 0.3915 0.7829 Ag
0.6085 0.1085 0.2171 Ag
0.1085 0.6085 0.2171 Ag
```

crystal system = tetragonal
uncorrected energy = -20.3 eV for the cell shown
spin magnetization = 0.003 μB per formula unit
Fermi-level density of states = 0.799 states/eV per atom



# 7
Ho4CI2 | PBE-GGA | optimized geometry

Geometry as POSCAR:
```
Ho4CI2
1.0
-4.1204 -0.0795 2.4874
1.6716 -3.6528 2.6522
1.7746 3.2316 7.7006
I C Ho
2 1 4
Direct
0.6370 0.6370 0.7260 I
0.3630 0.3630 0.2740 I
0.0000 0.0000 0.0000 C
0.8402 0.8402 0.3196 Ho
0.1598 0.1598 0.6804 Ho
0.0000 0.5000 0.0000 Ho
0.5000 0.0000 0.0000 Ho
```

crystal system = tetragonal
uncorrected energy = -32.2 eV for the cell shown
spin magnetization = 0.000 μB per formula unit
uncorrected formation energy = -1.6 eV per formula unit
Fermi-level density of states = 0.946 states/eV per atom



# 8
SmGe5 | PBE-GGA | optimized geometry

Geometry as POSCAR:
```
SmGe5
1.0
-3.0989 2.0134 0.5213
0.6209 -0.3076 4.8791
3.3347 5.7924 -2.5479
Ge Sm
5 1
Direct
0.0000 0.6551 0.3101 Ge
0.0000 0.3449 0.6899 Ge
0.5000 0.5000 0.0000 Ge
0.5000 0.1918 0.3835 Ge
0.5000 0.8082 0.6165 Ge
0.0000 0.0000 0.0000 Sm
```

crystal system = orthorhombic
uncorrected energy = -28.5 eV for the cell shown
spin magnetization = 0.000 μB per formula unit
Fermi-level density of states = 0.569 states/eV per atom



# 9
MnGa2I6Cl2 | PBE-GGA | optimized geometry

Geometry as POSCAR:
```
MnGa2I6Cl2
1.0
7.3004 0.0001 0.0000
-3.6503 6.3223 0.0000
0.0000 0.0000 9.9358
Mn Ga I Cl
1 2 6 2
Direct
0.0000 0.0000 0.0000 Mn
0.3333 0.6667 0.7444 Ga
0.6667 0.3333 0.2556 Ga
0.3234 0.3197 0.8260 I
0.9963 0.6766 0.8260 I
0.6803 0.0037 0.8260 I
0.6766 0.6803 0.1740 I
0.0037 0.3234 0.1740 I
0.3197 0.9963 0.1740 I
0.3333 0.6667 0.5270 Cl
0.6667 0.3333 0.4730 Cl
```

crystal system = trigonal
uncorrected energy = -34.6 eV for the cell shown
spin magnetization = 4.998 μB per formula unit
uncorrected formation energy = -6.4 eV per formula unit



# 10
Tb2Sm3Os2 | PBE-GGA | optimized geometry

Geometry as POSCAR:
```
Tb2Sm3Os2
1.0
-0.9917 0.8755 -3.7791
-4.7766 -3.3916 2.5898
-0.3338 7.5624 3.9592
Tb Sm Os
2 3 2
Direct
0.6499 0.4815 0.8182 Tb
0.3501 0.5185 0.1818 Tb
0.5000 0.0000 0.0000 Sm
0.1934 0.8171 0.5698 Sm
0.8066 0.1829 0.4302 Sm
0.0348 0.8543 0.2152 Os
0.9652 0.1457 0.7848 Os
```

crystal system = monoclinic
uncorrected energy = -47.1 eV for the cell shown
spin magnetization = 0.000 μB per formula unit
Fermi-level density of states = 0.737 states/eV per atom



# 11
ZnHW | PBE-GGA | optimized geometry

Geometry as POSCAR:
```
ZnHW
1.0
2.6907 -0.5438 -0.2623
-0.6083 2.8950 0.0664
-1.5727 -0.9101 9.3998
H Zn W
2 2 2
Direct
0.1434 0.7186 0.2156 H
0.8566 0.2814 0.7844 H
0.0460 0.2578 0.3896 Zn
0.9540 0.7422 0.6104 Zn
0.6333 0.6977 0.8821 W
0.3667 0.3023 0.1179 W
```

crystal system = triclinic
uncorrected energy = -34.2 eV for the cell shown
spin magnetization = 0.000 μB per formula unit
Fermi-level density of states = 0.265 states/eV per atom



# 12
Nb2AlBr2 | PBE-GGA | optimized geometry

Geometry as POSCAR:
```
Nb2AlBr2
1.0
7.9356 0.0000 0.0000
0.0000 7.9356 0.0000
0.0000 0.0000 3.0905
Nb Al Br
4 2 4
Direct
0.3304 0.8304 0.0000 Nb
0.8304 0.6696 0.0000 Nb
0.6696 0.1696 0.0000 Nb
0.1696 0.3304 0.0000 Nb
0.0000 0.0000 0.0000 Al
0.5000 0.5000 0.0000 Al
0.1337 0.6337 0.5000 Br
0.6337 0.8663 0.5000 Br
0.8663 0.3663 0.5000 Br
0.3663 0.1337 0.5000 Br
```

crystal system = tetragonal
uncorrected energy = -49.4 eV for the cell shown
spin magnetization = 0.000 μB per formula unit
uncorrected formation energy = 2.5 eV per formula unit
Fermi-level density of states = 0.954 states/eV per atom



# 13
LiAlP2 | PBE-GGA | optimized geometry

Geometry as POSCAR:
```
LiAlP2
1.0
4.0847 0.0000 0.0000
0.0000 4.0837 0.0000
0.0000 0.0000 3.5406
Al Li P
1 1 2
Direct
0.5000 0.0000 0.5000 Al
0.0000 0.5000 0.5000 Li
0.0000 0.0000 0.0000 P
0.5000 0.5000 0.0000 P
```

crystal system = tetragonal
uncorrected energy = -16.8 eV for the cell shown
spin magnetization = 0.000 μB per formula unit
Fermi-level density of states = 0.296 states/eV per atom



# 14
PrSnPd4 | PBE-GGA | optimized geometry

Geometry as POSCAR:
```
PrSnPd4
1.0
5.4588 0.0000 0.0000
2.7294 4.7275 0.0000
2.7294 1.5758 4.4571
Pr Sn Pd
1 1 4
Direct
0.2500 0.2500 0.2500 Pr
0.0000 0.0000 0.0000 Sn
0.6254 0.6254 0.1237 Pd
0.6254 0.1237 0.6254 Pd
0.6254 0.6254 0.6254 Pd
0.1237 0.6254 0.6254 Pd
```

crystal system = cubic
uncorrected energy = -33.2 eV for the cell shown
spin magnetization = 0.000 μB per formula unit
Fermi-level density of states = 0.754 states/eV per atom



# 15
LaIrPb2O6 | PBE-GGA | optimized geometry

Geometry as POSCAR:
```
LaIrPb2O6
1.0
6.0507 0.0000 -0.0024
0.0000 5.9225 0.0000
0.0500 0.0000 8.4531
La Ir Pb O
2 2 4 12
Direct
0.5000 0.0000 0.0000 La
0.0000 0.5000 0.5000 La
0.5000 0.0000 0.5000 Ir
0.0000 0.5000 0.0000 Ir
0.0053 0.9657 0.2384 Pb
0.5053 0.5343 0.7384 Pb
0.9947 0.0343 0.7616 Pb
0.4947 0.4657 0.2616 Pb
0.2607 0.6867 0.0586 O
0.7607 0.8133 0.5586 O
0.7393 0.3133 0.9414 O
0.2393 0.1867 0.4414 O
0.3336 0.7150 0.4611 O
0.8336 0.7850 0.9611 O
0.6664 0.2850 0.5389 O
0.1664 0.2150 0.0389 O
0.9035 0.5159 0.2258 O
0.4035 0.9841 0.7258 O
0.0965 0.4841 0.7742 O
0.5965 0.0159 0.2742 O
```

crystal system = monoclinic
uncorrected energy = -132.5 eV for the cell shown
spin magnetization = 0.288 μB per formula unit
uncorrected formation energy = -15.3 eV per formula unit
Fermi-level density of states = 0.638 states/eV per atom



# 16
Cu2P2Pt | PBE-GGA | optimized geometry

Geometry as POSCAR:
```
Cu2P2Pt
1.0
6.0186 0.0000 0.0000
0.0000 6.0186 0.0000
0.0000 0.0000 4.3582
P Cu Pt
4 4 2
Direct
0.3702 0.8702 0.0000 P
0.8702 0.6298 0.0000 P
0.6298 0.1298 0.0000 P
0.1298 0.3702 0.0000 P
0.2996 0.7996 0.5000 Cu
0.7996 0.7004 0.5000 Cu
0.7004 0.2004 0.5000 Cu
0.2004 0.2996 0.5000 Cu
0.0000 0.0000 0.0000 Pt
0.5000 0.5000 0.0000 Pt
```

crystal system = tetragonal
uncorrected energy = -51.3 eV for the cell shown
spin magnetization = 0.000 μB per formula unit
Fermi-level density of states = 0.160 states/eV per atom



# 17
Te3Cl | PBE-GGA | optimized geometry

Geometry as POSCAR:
```
Te3Cl
1.0
3.4868 0.0000 0.0000
0.0000 4.3170 0.0000
0.0000 0.0000 7.8966
Cl Te
1 3
Direct
0.0000 0.0000 0.0427 Cl
0.5000 0.0000 0.5214 Te
0.5000 0.5000 0.7860 Te
0.0000 0.5000 0.3165 Te
```

crystal system = orthorhombic
uncorrected energy = -10.8 eV for the cell shown
spin magnetization = 0.000 μB per formula unit
uncorrected formation energy = 0.4 eV per formula unit
Fermi-level density of states = 0.480 states/eV per atom



# 18
Sr2CdAg | PBE-GGA | optimized geometry

Geometry as POSCAR:
```
Sr2CdAg
1.0
-1.7858 -0.0878 6.4049
-5.9401 -2.4990 1.6401
5.2482 -1.7736 -3.6783
Ag Cd Sr
1 1 2
Direct
0.5000 0.5000 0.0000 Ag
0.7500 0.2500 0.5000 Cd
0.0000 0.0000 0.0000 Sr
0.2500 0.7500 0.5000 Sr
```

crystal system = tetragonal
uncorrected energy = -7.7 eV for the cell shown
spin magnetization = 0.000 μB per formula unit
Fermi-level density of states = 0.810 states/eV per atom



# 19
Nb6PdPt | PBE-GGA | optimized geometry

Geometry as POSCAR:
```
Nb6PdPt
1.0
-0.3001 5.1375 -0.7774
-1.1461 -0.8250 -5.0094
-5.0680 -0.1176 1.1789
Nb Pd Pt
6 1 1
Direct
0.0000 0.5000 0.7510 Nb
0.5000 0.2490 0.0000 Nb
0.7510 0.0000 0.5000 Nb
0.0000 0.5000 0.2490 Nb
0.5000 0.7510 0.0000 Nb
0.2490 0.0000 0.5000 Nb
0.5000 0.5000 0.5000 Pd
0.0000 0.0000 0.0000 Pt
```

crystal system = cubic
uncorrected energy = -73.9 eV for the cell shown
spin magnetization = 0.000 μB per formula unit
Fermi-level density of states = 1.031 states/eV per atom



# 20
ZrMnSnRh | PBE-GGA | optimized geometry

Geometry as POSCAR:
```
ZrMnSnRh
1.0
-3.7610 -1.0407 2.3116
-2.2843 -3.7950 -0.9755
0.0195 -3.4722 2.9181
Mn Rh Sn Zr
1 1 1 1
Direct
0.0000 0.0000 0.0000 Mn
0.5000 0.5000 0.5000 Rh
0.2500 0.2500 0.2500 Sn
0.7500 0.7500 0.7500 Zr
```

crystal system = cubic
uncorrected energy = -30.7 eV for the cell shown
spin magnetization = 0.000 μB per formula unit
Fermi-level density of states = 0.718 states/eV per atom